# PrAlAs2 (PBE, relaxed)
# - crystal system = trigonal
# - calculated formation energy (eV/atom) = -0.043
# - volume (Å³ per atom) = 25.6
# - final energy (eV per atom) = -4.50
data_PrAlAs2
_chemical_formula_sum 'Pr3 Al3 As6'
_cell_length_a 3.5965
_cell_length_b 3.5965
_cell_length_c 27.4759
_cell_angle_alpha 90.00
_cell_angle_beta 90.00
_cell_angle_gamma 120.00
_space_group_name_H-M_alt 'R -3 m'
_space_group_IT_number 166
_space_group_name_Hall '-R 3 2"'
loop_
_atom_site_label
_atom_site_type_symbol
_atom_site_fract_x
_atom_site_fract_y
_atom_site_fract_z
Pr1 Pr 0.0000 0.0000 0.0000
Al1 Al 0.0000 0.0000 0.5000
As1 As 0.0000 0.0000 0.1086

=====

# Pr2AlAs (PBE, relaxed)
# - crystal system = trigonal
# - calculated formation energy (eV/atom) = -0.290
# - volume (Å³ per atom) = 34.4
# - final energy (eV per atom) = -4.78
data_Pr2AlAs
_chemical_formula_sum 'Pr6 Al3 As3'
_cell_length_a 3.9870
_cell_length_b 3.9870
_cell_length_c 29.9973
_cell_angle_alpha 90.00
_cell_angle_beta 90.00
_cell_angle_gamma 120.00
_space_group_name_H-M_alt 'R -3 m'
_space_group_IT_number 166
_space_group_name_Hall '-R 3 2"'
loop_
_atom_site_label
_atom_site_type_symbol
_atom_site_fract_x
_atom_site_fract_y
_atom_site_fract_z
Pr1 Pr 0.0000 0.0000 0.1073
Al1 Al 0.0000 0.0000 0.0000
As1 As 0.0000 0.0000 0.5000

=====

# PrAlAs (PBE, relaxed)
# - crystal system = trigonal
# - calculated formation energy (eV/atom) = -0.701
# - volume (Å³ per atom) = 27.6
# - final energy (eV per atom) = -5.09
data_PrAlAs
_chemical_formula_sum 'Pr6 Al6 As6'
_cell_length_a 4.9057
_cell_length_b 4.9057
_cell_length_c 23.7996
_cell_angle_alpha 90.00
_cell_angle_beta 90.00
_cell_angle_gamma 120.00
_space_group_name_H-M_alt 'R -3 m'
_space_group_IT_number 166
_space_group_name_Hall '-R 3 2"'
loop_
_atom_site_label
_atom_site_type_symbol
_atom_site_fract_x
_atom_site_fract_y
_atom_site_fract_z
Pr1 Pr 0.0000 0.0000 0.0897
Al1 Al 0.0000 0.0000 0.3228
As1 As 0.0000 0.0000 0.2176

=====

# Pr3AlAs2Rh9 (PBE, relaxed)
# - crystal system = trigonal
# - calculated formation energy (eV/atom) = -0.434
# - volume (Å³ per atom) = 20.3
# - final energy (eV per atom) = -6.67
data_Pr3AlAs2Rh9
_chemical_formula_sum 'Pr3 Al1 As2 Rh9'
_cell_length_a 6.2503
_cell_length_b 6.2503
_cell_length_c 8.9962
_cell_angle_alpha 90.00
_cell_angle_beta 90.00
_cell_angle_gamma 120.00
_space_group_name_H-M_alt 'P -3 m 1'
_space_group_IT_number 164
_space_group_name_Hall '-P 3 2"'
loop_
_atom_site_label
_atom_site_type_symbol
_atom_site_fract_x
_atom_site_fract_y
_atom_site_fract_z
Pr1 Pr 0.0000 0.0000 0.0000
Pr2 Pr 0.3333 0.6667 0.6784
Al1 Al 0.0000 0.0000 0.5000
As1 As 0.3333 0.6667 0.1726
Rh1 Rh 0.0000 0.5000 0.0000
Rh2 Rh 0.1437 0.2874 0.2866

=====

# AlAs4Pt (PBE, relaxed)
# - crystal system = cubic
# - calculated formation energy (eV/atom) = 0.557
# - volume (Å³ per atom) = 19.4
# - final energy (eV per atom) = -4.17
data_AlAs4Pt
_chemical_formula_sum 'Al4 As16 Pt4'
_cell_length_a 7.745
_cell_length_b 7.745
_cell_length_c 7.745
_cell_angle_alpha 90.00
_cell_angle_beta 90.00
_cell_angle_gamma 90.00
_space_group_name_H-M_alt 'F -4 3 m'
_space_group_IT_number 216
_space_group_name_Hall 'F -4 2 3'
loop_
_atom_site_label
_atom_site_type_symbol
_atom_site_fract_x
_atom_site_fract_y
_atom_site_fract_z
Al1 Al 0.000 0.000 0.000
As1 As 0.126 0.126 0.626
Pt1 Pt 0.250 0.250 0.250

=====

# AlAs2Pt (PBE, relaxed)
# - crystal system = monoclinic
# - calculated formation energy (eV/atom) = -0.141
# - volume (Å³ per atom) = 17.8
# - final energy (eV per atom) = -4.91
data_AlAs2Pt
_chemical_formula_sum 'Al2 As4 Pt2'
_cell_length_a 5.335
_cell_length_b 9.993
_cell_length_c 3.719
_cell_angle_alpha 90.00
_cell_angle_beta 134.11
_cell_angle_gamma 90.00
_space_group_name_H-M_alt 'C 1 2/m 1'
_space_group_IT_number 12
loop_
_space_group_symop_operation_xyz
'x,y,z'
'-x,-y,-z'
'-x,y,-z'
'x,-y,z'
'x+1/2,y+1/2,z'
'-x+1/2,-y+1/2,-z'
'-x+1/2,y+1/2,-z'
'x+1/2,-y+1/2,z'
loop_
_atom_site_label
_atom_site_type_symbol
_atom_site_fract_x
_atom_site_fract_y
_atom_site_fract_z
Al1 Al 0.000 0.000 0.000
As1 As 0.250 0.250 0.000
Pt1 Pt 0.000 0.500 0.000

=====

no.,theoretical density (kg/m³),DOS(E_F) (states/eV per atom)
1,5143,0.7459
2,4629,1.0956
3,4877,0.1391
4,8324,0.6125
5,7459,0.8542
6,8676,0.4265